The following is a DFT calculation (PBE) of an optimized crystal structure of HoPuBi6.

a b c (Å): 4.7142 4.5821 11.8079
angles (deg): 90.00 101.51 90.00
Last column: nearest neighbours and their distance in Å.
Element x y z (fractional)
Bi 0.6885 0.0000 0.3770  1 Pu 3.18, 4 Ho 3.30, 2 Bi 3.56
Bi 0.4331 0.0000 0.8663  8 Bi 3.29-3.61, 2 Pu 3.42
Bi 0.5539 0.5000 0.1078  8 Bi 3.32-3.61, 2 Ho 3.69
Bi 0.0730 0.0000 0.1461  6 Bi 3.32-3.56, 2 Ho 3.32
Bi 0.9357 0.5000 0.8713  6 Bi 3.29-3.61, 2 Pu 3.42
Bi 0.3130 0.5000 0.6260  1 Ho 3.15, 4 Pu 3.30
Pu 0.8260 0.0000 0.6520  9 Bi 3.18-3.42
Ho 0.1768 0.5000 0.3535  7 Bi 3.15-3.32

Computed properties:
Spin magnetization (μB/cell): 5.61
ΔE_f (eV/atom): -0.217
Mass density (g/cm³): 11.0

The following is a DFT calculation (PBE) of an optimized crystal structure of HoPuBi2.

a b c (Å): 3.3989 5.8443 5.8443
angles (deg): 90.00 90.00 90.00
Last column: nearest neighbours and their distance in Å.
Element x y z (fractional)
Bi 0.0000 0.0000 0.5000  4 Ho 3.38, 4 Pu 3.38, 2 Bi 3.40
Bi 0.0000 0.5000 0.0000  4 Ho 3.38, 4 Pu 3.38, 2 Bi 3.40
Pu 0.5000 0.0000 0.0000  8 Bi 3.38, 2 Pu 3.40
Ho 0.5000 0.5000 0.5000  8 Bi 3.38, 2 Ho 3.40

Computed properties:
Spin magnetization (μB/cell): 5.90
ΔE_f (eV/atom): -0.476
Mass density (g/cm³): 11.8
Energy above the lowest structure with this stoichiometry (eV/atom): 0.1049

The following is a DFT calculation (PBE) of an optimized crystal structure of Ho8PuBi2.

a b c (Å): 4.8330 8.1206 9.2671
angles (deg): 109.34 105.12 90.00
Last column: nearest neighbours and their distance in Å.
Element x y z (fractional)
Ho 0.9562 0.2479 0.9123  8 Ho 3.39-3.68, 2 Pu 3.40, 1 Bi 3.42
Ho 0.3193 0.0720 0.6386  3 Bi 3.23-3.46, 7 Ho 3.37-3.56, 1 Pu 3.48
Ho 0.0438 0.7521 0.0877  8 Ho 3.39-3.68, 2 Pu 3.40, 1 Bi 3.42
Ho 0.4071 0.5367 0.8142  2 Bi 3.29, 8 Ho 3.46-3.68, 1 Pu 3.55
Ho 0.8531 0.7896 0.7061  3 Bi 3.34-3.42, 7 Ho 3.51-3.63, 2 Pu 3.55
Ho 0.1469 0.2104 0.2939  3 Bi 3.34-3.42, 7 Ho 3.51-3.63, 2 Pu 3.55
Ho 0.6807 0.9280 0.3614  3 Bi 3.23-3.46, 7 Ho 3.37-3.56, 1 Pu 3.48
Ho 0.5929 0.4633 0.1858  2 Bi 3.29, 8 Ho 3.46-3.68, 1 Pu 3.55
Bi 0.7836 0.3414 0.5672  9 Ho 3.23-3.46
Bi 0.2164 0.6586 0.4328  9 Ho 3.23-3.46
Pu 0.5000 0.0000 0.0000  12 Ho 3.40-3.55

Computed properties:
Spin magnetization (μB/cell): 7.13
ΔE_f (eV/atom): -0.215
Mass density (g/cm³): 10.0

The following is a DFT calculation (PBE) of an optimized crystal structure of HoPuBi2.

a b c (Å): 4.4564 4.4563 7.7512
angles (deg): 90.01 90.00 120.00
Last column: nearest neighbours and their distance in Å.
Element x y z (fractional)
Bi 0.3333 0.1666 0.2554  3 Ho 3.20, 3 Pu 3.25
Bi 0.6667 0.8334 0.7446  3 Ho 3.20, 3 Pu 3.25
Ho 0.0000 0.5000 0.5000  6 Bi 3.20
Pu 0.0000 0.5000 0.0000  6 Bi 3.25

Computed properties:
Spin magnetization (μB/cell): 5.19
ΔE_f (eV/atom): -0.502
Mass density (g/cm³): 10.3
Energy above the lowest structure with this stoichiometry (eV/atom): 0.0786

The following is a DFT calculation (PBE) of an optimized crystal structure of Ho4PuBi5.

a b c (Å): 4.4764 6.3335 11.8574
angles (deg): 105.49 100.88 90.00
Last column: nearest neighbours and their distance in Å.
Element x y z (fractional)
Pu 0.0000 0.0000 0.0000  6 Bi 3.17-3.19
Bi 0.0000 0.5000 0.0000  2 Pu 3.17, 4 Ho 3.17
Bi 0.6017 0.1017 0.2034  4 Ho 3.16-3.17, 2 Pu 3.19
Bi 0.8002 0.3002 0.6004  6 Ho 3.15-3.17
Bi 0.1998 0.6998 0.3996  6 Ho 3.15-3.17
Bi 0.3983 0.8983 0.7966  4 Ho 3.16-3.17, 2 Pu 3.19
Ho 0.7985 0.7985 0.5971  6 Bi 3.15-3.17
Ho 0.6005 0.6005 0.2009  6 Bi 3.16-3.17
Ho 0.3995 0.3995 0.7991  6 Bi 3.16-3.17
Ho 0.2015 0.2015 0.4029  6 Bi 3.15-3.17

Computed properties:
Spin magnetization (μB/cell): 5.22
ΔE_f (eV/atom): -0.729
Mass density (g/cm³): 10.2

The following is a DFT calculation (PBE) of an optimized crystal structure of HoPuSc2Bi4.

a b c (Å): 4.3857 7.6016 7.5828
angles (deg): 109.41 90.00 90.00
Last column: nearest neighbours and their distance in Å.
Element x y z (fractional)
Bi 0.5000 0.2530 0.2651  3 Sc 3.02-3.05, 2 Ho 3.16, 1 Pu 3.17
Bi 0.5000 0.7470 0.7349  3 Sc 3.02-3.05, 2 Ho 3.16, 1 Pu 3.17
Bi 0.0000 0.2422 0.7331  3 Sc 3.03-3.04, 1 Ho 3.16, 2 Pu 3.18
Bi 0.0000 0.7578 0.2669  3 Sc 3.03-3.04, 1 Ho 3.16, 2 Pu 3.18
Pu 0.5000 0.5000 0.0000  6 Bi 3.17-3.18
Sc 0.0000 0.5000 0.5000  6 Bi 3.04-3.05
Sc 0.5000 0.0000 0.5000  6 Bi 3.02-3.03
Ho 0.0000 0.0000 0.0000  6 Bi 3.16

Computed properties:
Spin magnetization (μB/cell): 5.23
ΔE_f (eV/atom): -0.613
Mass density (g/cm³): 9.3

Please write out number 1 again, unchanged.
The following is a DFT calculation (PBE) of an optimized crystal structure of HoPuBi6.

a b c (Å): 4.7142 4.5821 11.8079
angles (deg): 90.00 101.51 90.00
Last column: nearest neighbours and their distance in Å.
Element x y z (fractional)
Bi 0.6885 0.0000 0.3770  1 Pu 3.18, 4 Ho 3.30, 2 Bi 3.56
Bi 0.4331 0.0000 0.8663  8 Bi 3.29-3.61, 2 Pu 3.42
Bi 0.5539 0.5000 0.1078  8 Bi 3.32-3.61, 2 Ho 3.69
Bi 0.0730 0.0000 0.1461  6 Bi 3.32-3.56, 2 Ho 3.32
Bi 0.9357 0.5000 0.8713  6 Bi 3.29-3.61, 2 Pu 3.42
Bi 0.3130 0.5000 0.6260  1 Ho 3.15, 4 Pu 3.30
Pu 0.8260 0.0000 0.6520  9 Bi 3.18-3.42
Ho 0.1768 0.5000 0.3535  7 Bi 3.15-3.32

Computed properties:
Spin magnetization (μB/cell): 5.61
ΔE_f (eV/atom): -0.217
Mass density (g/cm³): 11.0

Q: Look up the ΔE_f of the third one.
A: -0.215 eV/atom

Q: Among the records above, which one has the lowest ΔE_f?
A: Ho4PuBi5

Please write out number 1 again, unchanged.
The following is a DFT calculation (PBE) of an optimized crystal structure of HoPuBi6.

a b c (Å): 4.7142 4.5821 11.8079
angles (deg): 90.00 101.51 90.00
Last column: nearest neighbours and their distance in Å.
Element x y z (fractional)
Bi 0.6885 0.0000 0.3770  1 Pu 3.18, 4 Ho 3.30, 2 Bi 3.56
Bi 0.4331 0.0000 0.8663  8 Bi 3.29-3.61, 2 Pu 3.42
Bi 0.5539 0.5000 0.1078  8 Bi 3.32-3.61, 2 Ho 3.69
Bi 0.0730 0.0000 0.1461  6 Bi 3.32-3.56, 2 Ho 3.32
Bi 0.9357 0.5000 0.8713  6 Bi 3.29-3.61, 2 Pu 3.42
Bi 0.3130 0.5000 0.6260  1 Ho 3.15, 4 Pu 3.30
Pu 0.8260 0.0000 0.6520  9 Bi 3.18-3.42
Ho 0.1768 0.5000 0.3535  7 Bi 3.15-3.32

Computed properties:
Spin magnetization (μB/cell): 5.61
ΔE_f (eV/atom): -0.217
Mass density (g/cm³): 11.0